No. 1
## CuSb2Pb2 (GGA-PBEsol)

Data for crystalline CuSb2Pb2 at its relaxed geometry.

Cell: 5.7865 6.7573 6.7573 Å, 90.00 90.00 90.00°
With the nearest neighbours (Å) after each atom.
Positions (direct):
Pb: 0.5000 0.2960 0.2040  2 Sb 3.21, 4 Pb 3.44
Pb: 0.5000 0.2040 0.7040  2 Sb 3.21, 4 Pb 3.44
Pb: 0.5000 0.7960 0.2960  2 Sb 3.21, 4 Pb 3.44
Pb: 0.5000 0.7040 0.7960  2 Sb 3.21, 4 Pb 3.44
Sb: 0.0000 0.6516 0.1516  2 Cu 2.57
Sb: 0.0000 0.8484 0.6516  2 Cu 2.57
Sb: 0.0000 0.3484 0.8484  2 Cu 2.57
Sb: 0.0000 0.1516 0.3484  2 Cu 2.57
Cu: 0.0000 0.0000 0.0000  4 Sb 2.57
Cu: 0.0000 0.5000 0.5000  4 Sb 2.57

Size of the total moment ... 0.00 μB per formula unit
V ... 264 Å³ per cell
Space-group type ... No. 127
Formation energy without anion corrections ... 108 meV/atom



No. 2
## Sr2MnAs (GGA-PBEsol)

Data for crystalline Sr2MnAs at its relaxed geometry.

Cell: 5.1802 5.1802 5.1802 Å, 60.00 60.00 60.00°
With the nearest neighbours (Å) after each atom.
Positions (direct):
Sr: 0.0000 0.0000 0.0000  4 Mn 3.17, 4 Sr 3.17
Sr: 0.7500 0.7500 0.7500  4 As 3.17, 4 Sr 3.17
As: 0.5000 0.5000 0.5000  4 Sr 3.17, 4 Mn 3.17
Mn: 0.2500 0.2500 0.2500  4 As 3.17, 4 Sr 3.17

Energy relative to the elements ... 0.277 eV/atom
Size of the total moment ... 3.23 μB per formula unit
V ... 98 Å³ per cell
Space-group type ... No. 216



No. 3
## SrCa2Zn2 (GGA-PBEsol)

Data for crystalline SrCa2Zn2 at its relaxed geometry.

Cell: 3.4994 8.7690 8.7690 Å, 90.00 90.00 90.00°
With the nearest neighbours (Å) after each atom.
Positions (direct):
Sr: 0.0000 0.5000 0.5000  4 Ca 3.43, 2 Sr 3.50, 8 Zn 3.72
Sr: 0.0000 0.0000 0.0000  4 Ca 3.43, 2 Sr 3.50, 8 Zn 3.72
Zn: 0.5000 0.8372 0.3372  6 Ca 3.09-3.13
Zn: 0.5000 0.6628 0.8372  6 Ca 3.09-3.13
Zn: 0.5000 0.3372 0.1628  6 Ca 3.09-3.13
Zn: 0.5000 0.1628 0.6628  6 Ca 3.09-3.13
Ca: 0.0000 0.8678 0.6322  6 Zn 3.09-3.13, 1 Ca 3.28, 2 Sr 3.43
Ca: 0.0000 0.1322 0.3678  6 Zn 3.09-3.13, 1 Ca 3.28, 2 Sr 3.43
Ca: 0.0000 0.3678 0.8678  6 Zn 3.09-3.13, 1 Ca 3.28, 2 Sr 3.43
Ca: 0.0000 0.6322 0.1322  6 Zn 3.09-3.13, 1 Ca 3.28, 2 Sr 3.43

Energy relative to the elements ... -0.087 eV/atom
Energy above the most stable polymorph in this dataset ... 0 meV per atom
Size of the total moment ... 0.00 μB per formula unit
V ... 269 Å³ per cell
Space-group type ... No. 127



No. 4
## CaPbSe3 (GGA-PBEsol)

Data for crystalline CaPbSe3 at its relaxed geometry.

Cell: 5.3150 5.3150 5.3150 Å, 90.00 90.00 90.00°
With the nearest neighbours (Å) after each atom.
Positions (direct):
Se: 0.0000 0.0000 0.5000  2 Ca 2.66
Se: 0.0000 0.5000 0.0000  2 Ca 2.66
Se: 0.5000 0.0000 0.0000  2 Ca 2.66
Ca: 0.0000 0.0000 0.0000  6 Se 2.66
Pb: 0.5000 0.5000 0.5000  12 Se 3.76

Size of the total moment ... 0.03 μB per formula unit
V ... 150 Å³ per cell
Space-group type ... No. 221
Formation energy without anion corrections ... -221 meV/atom



No. 5
## CeSnPd (GGA-PBEsol)

Data for crystalline CeSnPd at its relaxed geometry.

Cell: 4.6471 7.2995 7.8437 Å, 90.00 90.00 90.00°
With the nearest neighbours (Å) after each atom.
Positions (direct):
Ce: 0.7500 0.4875 0.2027  6 Pd 3.03-3.38, 6 Sn 3.20-3.31
Ce: 0.7500 0.9875 0.2973  6 Pd 3.03-3.38, 6 Sn 3.20-3.31
Ce: 0.2500 0.5125 0.7973  6 Pd 3.03-3.38, 6 Sn 3.20-3.31
Ce: 0.2500 0.0125 0.7027  6 Pd 3.03-3.38, 6 Sn 3.20-3.31
Pd: 0.2500 0.2932 0.4178  4 Sn 2.69-2.88
Pd: 0.7500 0.7068 0.5822  4 Sn 2.69-2.88
Pd: 0.2500 0.7932 0.0822  4 Sn 2.69-2.88
Pd: 0.7500 0.2068 0.9178  4 Sn 2.69-2.88
Sn: 0.7500 0.8121 0.9114  4 Pd 2.69-2.88
Sn: 0.2500 0.1879 0.0886  4 Pd 2.69-2.88
Sn: 0.7500 0.3121 0.5886  4 Pd 2.69-2.88
Sn: 0.2500 0.6879 0.4114  4 Pd 2.69-2.88

Energy relative to the elements ... -0.810 eV/atom
Size of the total moment ... 0.39 μB per formula unit
V ... 266 Å³ per cell
Space-group type ... No. 62



No. 6
## CaMgPb2 (GGA-PBEsol)

Data for crystalline CaMgPb2 at its relaxed geometry.

Cell: 4.5652 4.5652 6.1226 Å, 111.89 111.89 90.00°
With the nearest neighbours (Å) after each atom.
Positions (direct):
Pb: 0.0000 0.0000 0.0000  4 Ca 3.23, 4 Pb 3.46, 4 Mg 3.46
Pb: 0.7500 0.2500 0.5000  4 Mg 3.23, 4 Pb 3.46, 4 Ca 3.46
Ca: 0.5000 0.5000 0.0000  8 Pb 3.23-3.46, 4 Mg 3.46
Mg: 0.2500 0.7500 0.5000  8 Pb 3.23-3.46, 4 Ca 3.46

Energy relative to the elements ... -0.303 eV/atom
Size of the total moment ... 0.00 μB per formula unit
V ... 108 Å³ per cell
Space-group type ... No. 119



No. 7
## Ge2B2Se (GGA-PBEsol)

Data for crystalline Ge2B2Se at its relaxed geometry.

Cell: 4.0383 4.0383 5.0662 Å, 113.49 113.49 90.00°
With the nearest neighbours (Å) after each atom.
Positions (direct):
B: 0.6020 0.6020 0.2039  1 B 1.71
B: 0.3980 0.3980 0.7961  1 B 1.71
Ge: 0.2500 0.7500 0.5000  4 B 2.37
Ge: 0.7500 0.2500 0.5000  4 B 2.37
Se: 0.0000 0.0000 0.0000  8 Ge 2.91, 8 B 2.98

Size of the total moment ... 0.00 μB per formula unit
V ... 68 Å³ per cell
Space-group type ... No. 139
Formation energy without anion corrections ... 691 meV/atom



No. 8
## CrCl2 (GGA-PBEsol)

Data for crystalline CrCl2 at its relaxed geometry.

Cell: 3.3919 5.9417 7.7422 Å, 90.00 102.65 90.00°
With the nearest neighbours (Å) after each atom.
Positions (direct):
Cr: 0.6832 0.2500 0.3665  4 Cl 2.31-2.38
Cr: 0.3168 0.7500 0.6335  4 Cl 2.31-2.38
Cl: 0.0792 0.2500 0.1584  2 Cr 2.31
Cl: 0.9208 0.7500 0.8416  2 Cr 2.31
Cl: 0.7064 0.7500 0.4128  2 Cr 2.38
Cl: 0.2936 0.2500 0.5872  2 Cr 2.38

Energy above the most stable polymorph in this dataset ... 25 meV per atom
Size of the total moment ... 4.00 μB per formula unit
V ... 152 Å³ per cell
Space-group type ... No. 63
Formation energy without anion corrections ... -823 meV/atom



No. 9
## YAg3 (GGA-PBEsol)

Data for crystalline YAg3 at its relaxed geometry.

Cell: 4.7797 6.1531 6.1531 Å, 119.80 90.00 90.00°
With the nearest neighbours (Å) after each atom.
Positions (direct):
Ag: 0.7500 0.3114 0.1548  6 Ag 2.88-2.91, 4 Y 3.05-3.08
Ag: 0.2500 0.1567 0.8433  6 Ag 2.89-2.91, 4 Y 3.05-3.09
Ag: 0.7500 0.8433 0.1567  6 Ag 2.89-2.91, 4 Y 3.05-3.09
Ag: 0.2500 0.1548 0.3114  6 Ag 2.88-2.91, 4 Y 3.05-3.08
Ag: 0.2500 0.6886 0.8452  6 Ag 2.88-2.91, 4 Y 3.05-3.08
Ag: 0.7500 0.8452 0.6886  6 Ag 2.88-2.91, 4 Y 3.05-3.08
Y: 0.2500 0.6658 0.3342  12 Ag 3.05-3.09
Y: 0.7500 0.3342 0.6658  12 Ag 3.05-3.09

Energy relative to the elements ... -0.232 eV/atom
Size of the total moment ... 0.00 μB per formula unit
V ... 157 Å³ per cell
Space-group type ... No. 63



No. 10
## ScCd3 (GGA-PBEsol)

Data for crystalline ScCd3 at its relaxed geometry.

Cell: 3.1463 5.2501 5.4399 Å, 102.41 90.00 107.44°
With the nearest neighbours (Å) after each atom.
Positions (direct):
Sc: 0.5000 0.0000 0.0000  10 Cd 3.04-3.14, 2 Sc 3.15
Cd: 0.7468 0.4936 0.7482  9 Cd 2.98-3.15, 3 Sc 3.04-3.08
Cd: 0.0000 0.0000 0.5000  8 Cd 2.98-3.15, 4 Sc 3.14
Cd: 0.2532 0.5064 0.2518  9 Cd 2.98-3.15, 3 Sc 3.04-3.08

Energy relative to the elements ... -0.147 eV/atom
Size of the total moment ... 0.00 μB per formula unit
V ... 84 Å³ per cell
Space-group type ... No. 12



No. 11
## LaOsO2 (GGA-PBEsol)

Data for crystalline LaOsO2 at its relaxed geometry.

Cell: 3.8541 3.8541 6.1108 Å, 71.62 71.62 60.00°
With the nearest neighbours (Å) after each atom.
Positions (direct):
La: 0.5000 0.5000 0.5000  6 O 2.41
Os: 0.0000 0.0000 0.0000  2 O 1.92
O: 0.8873 0.8873 0.3381  1 Os 1.92
O: 0.1127 0.1127 0.6619  1 Os 1.92

Size of the total moment ... 3.03 μB per formula unit
V ... 73 Å³ per cell
Space-group type ... No. 166
Formation energy without anion corrections ... -1427 meV/atom



No. 12
## BeOsAu2 (GGA-PBEsol)

Data for crystalline BeOsAu2 at its relaxed geometry.

Cell: 3.9519 3.9519 4.6367 Å, 115.22 115.22 90.00°
With the nearest neighbours (Å) after each atom.
Positions (direct):
Au: 0.7500 0.2500 0.5000  4 Be 2.71, 4 Au 2.71, 4 Os 2.79
Au: 0.0000 0.0000 0.0000  4 Au 2.71, 4 Os 2.71, 4 Be 2.79
Os: 0.2500 0.7500 0.5000  4 Be 2.71, 8 Au 2.71-2.79
Be: 0.5000 0.5000 0.0000  4 Os 2.71, 8 Au 2.71-2.79

Energy relative to the elements ... 0.534 eV/atom
Size of the total moment ... 0.00 μB per formula unit
V ... 58 Å³ per cell
Space-group type ... No. 119



No. 13
## UN2 (GGA-PBEsol)

Data for crystalline UN2 at its relaxed geometry.

Cell: 3.6924 3.6924 3.6924 Å, 60.00 60.00 60.00°
With the nearest neighbours (Å) after each atom.
Positions (direct):
N: 0.7500 0.7500 0.7500  4 U 2.26
N: 0.2500 0.2500 0.2500  4 U 2.26
U: 0.0000 0.0000 0.0000  8 N 2.26

Size of the total moment ... 0.00 μB per formula unit
V ... 36 Å³ per cell
Space-group type ... No. 225
Formation energy without anion corrections ... -1523 meV/atom



No. 14
## BaCrIn (GGA-PBEsol)

Data for crystalline BaCrIn at its relaxed geometry.

Cell: 3.7487 3.7487 6.6215 Å, 106.44 106.44 90.00°
With the nearest neighbours (Å) after each atom.
Positions (direct):
In: 0.7065 0.7065 0.4131  4 Cr 2.85
Ba: 0.0016 0.0016 0.0032  5 Cr 3.52-3.67, 5 In 3.58-3.63, 4 Ba 3.75
Cr: 0.2919 0.2919 0.5838  4 In 2.85

Energy relative to the elements ... 0.356 eV/atom
Size of the total moment ... 4.22 μB per formula unit
V ... 85 Å³ per cell
Space-group type ... No. 107



No. 15
## AuC2 (GGA-PBEsol)

Data for crystalline AuC2 at its relaxed geometry.

Cell: 2.6636 5.5955 5.7832 Å, 101.72 90.22 90.22°
With the nearest neighbours (Å) after each atom.
Positions (direct):
Au: 0.2500 0.1393 0.3630  2 C 1.99
Au: 0.7500 0.8607 0.6370  2 C 1.99
C: 0.2500 0.6925 0.8049  1 C 1.34
C: 0.7500 0.4588 0.0417  1 C 1.34
C: 0.2500 0.5412 0.9583  1 C 1.34
C: 0.7500 0.3075 0.1951  1 C 1.34

Energy relative to the elements ... 0.910 eV/atom
Energy above the most stable polymorph in this dataset ... 29 meV per atom
Size of the total moment ... 0.00 μB per formula unit
V ... 84 Å³ per cell
Space-group type ... No. 2



No. 16
## CaNdCd2 (GGA-PBEsol)

Data for crystalline CaNdCd2 at its relaxed geometry.

Cell: 5.3247 5.3247 5.3247 Å, 60.00 60.00 60.00°
With the nearest neighbours (Å) after each atom.
Positions (direct):
Nd: 0.0000 0.0000 0.0000  8 Cd 3.26
Cd: 0.7500 0.7500 0.7500  4 Ca 3.26, 4 Nd 3.26
Cd: 0.2500 0.2500 0.2500  4 Ca 3.26, 4 Nd 3.26
Ca: 0.5000 0.5000 0.5000  8 Cd 3.26

Energy relative to the elements ... -0.373 eV/atom
Size of the total moment ... 0.00 μB per formula unit
V ... 107 Å³ per cell
Space-group type ... No. 225



No. 17
## MgCr4Ni (GGA-PBEsol)

Data for crystalline MgCr4Ni at its relaxed geometry.

Cell: 4.7126 4.7126 4.7126 Å, 60.00 60.00 60.00°
With the nearest neighbours (Å) after each atom.
Positions (direct):
Ni: 0.0000 0.0000 0.0000  12 Cr 2.77, 4 Mg 2.89
Mg: 0.2500 0.2500 0.2500  12 Cr 2.76, 4 Ni 2.89
Cr: 0.6238 0.6238 0.1287  6 Cr 2.33-2.38
Cr: 0.6238 0.6238 0.6238  6 Cr 2.33-2.38
Cr: 0.1287 0.6238 0.6238  6 Cr 2.33-2.38
Cr: 0.6238 0.1287 0.6238  6 Cr 2.33-2.38

Energy relative to the elements ... 0.391 eV/atom
Size of the total moment ... 0.00 μB per formula unit
V ... 74 Å³ per cell
Space-group type ... No. 216



No. 18
## CaMn2Ag (GGA-PBEsol)

Data for crystalline CaMn2Ag at its relaxed geometry.

Cell: 3.3721 3.3721 6.9997 Å, 90.00 90.00 90.00°
With the nearest neighbours (Å) after each atom.
Positions (direct):
Mn: 0.0000 0.0000 0.1944  1 Mn 2.72, 4 Ag 2.75
Mn: 0.0000 0.0000 0.8056  1 Mn 2.72, 4 Ag 2.75
Ca: 0.5000 0.5000 0.5000  8 Mn 3.20, 4 Ca 3.37, 2 Ag 3.50
Ag: 0.5000 0.5000 0.0000  8 Mn 2.75

Energy relative to the elements ... 0.610 eV/atom
Size of the total moment ... 8.27 μB per formula unit
V ... 80 Å³ per cell
Space-group type ... No. 123



No. 19
## MgBeAg2 (GGA-PBEsol)

Data for crystalline MgBeAg2 at its relaxed geometry.

Cell: 2.8959 2.8959 8.6523 Å, 80.37 80.37 60.00°
With the nearest neighbours (Å) after each atom.
Positions (direct):
Ag: 0.2397 0.2397 0.2809  3 Be 2.50
Ag: 0.7603 0.7603 0.7191  3 Be 2.50
Mg: 0.0000 0.0000 0.0000  6 Mg 2.90, 6 Ag 2.91
Be: 0.5000 0.5000 0.5000  6 Ag 2.50

Energy relative to the elements ... 0.102 eV/atom
Energy above the most stable polymorph in this dataset ... 36 meV per atom
Size of the total moment ... 0.00 μB per formula unit
V ... 62 Å³ per cell
Space-group type ... No. 166



No. 20
## LiRu2O4 (GGA-PBEsol)

Data for crystalline LiRu2O4 at its relaxed geometry.

Cell: 2.7191 9.2409 11.1235 Å, 90.00 90.00 90.00°
With the nearest neighbours (Å) after each atom.
Positions (direct):
O: 0.2500 0.5283 0.7760  3 Ru 1.93-1.95
O: 0.2500 0.9064 0.0615  3 Ru 2.03-2.07, 2 Li 2.04
O: 0.2500 0.0283 0.7240  3 Ru 1.93-1.95
O: 0.2500 0.6150 0.0307  2 Li 2.03, 3 Ru 2.03-2.07
O: 0.7500 0.0936 0.9385  3 Ru 2.03-2.07, 2 Li 2.04
O: 0.7500 0.3850 0.9693  2 Li 2.03, 3 Ru 2.03-2.07
O: 0.2500 0.4064 0.4385  3 Ru 2.03-2.07, 2 Li 2.04
O: 0.7500 0.8850 0.5307  2 Li 2.03, 3 Ru 2.03-2.07
O: 0.2500 0.2088 0.1587  3 Ru 1.98-1.99
O: 0.7500 0.4717 0.2240  3 Ru 1.93-1.95
O: 0.2500 0.1150 0.4693  2 Li 2.03, 3 Ru 2.03-2.07
O: 0.7500 0.9717 0.2760  3 Ru 1.93-1.95
O: 0.7500 0.7912 0.8413  3 Ru 1.98-1.99
O: 0.2500 0.7088 0.3413  3 Ru 1.98-1.99
O: 0.7500 0.2912 0.6587  3 Ru 1.98-1.99
O: 0.7500 0.5936 0.5615  3 Ru 2.03-2.07, 2 Li 2.04
Ru: 0.7500 0.5601 0.3813  6 O 1.93-2.07
Ru: 0.2500 0.4154 0.1073  6 O 1.95-2.07
Ru: 0.7500 0.0846 0.6073  6 O 1.95-2.07
Ru: 0.2500 0.9399 0.8813  6 O 1.93-2.07
Ru: 0.7500 0.5846 0.8927  6 O 1.95-2.07
Ru: 0.2500 0.9154 0.3927  6 O 1.95-2.07
Ru: 0.7500 0.0601 0.1187  6 O 1.93-2.07
Ru: 0.2500 0.4399 0.6187  6 O 1.93-2.07
Li: 0.7500 0.7511 0.1054  4 O 2.03-2.04
Li: 0.2500 0.7489 0.6054  4 O 2.03-2.04
Li: 0.2500 0.2489 0.8946  4 O 2.03-2.04
Li: 0.7500 0.2511 0.3946  4 O 2.03-2.04

Size of the total moment ... 0.00 μB per formula unit
V ... 279 Å³ per cell
Space-group type ... No. 62
Formation energy without anion corrections ... -1184 meV/atom